Material: Ce2Ho2Th3
Method: DFT, PBE-GGA
State: optimized geometry

Properties
space-group type: C2/m (12)
uncorrected energy: -0.2248 Ha/atom

```
Ce2Ho2Th3
1.0
-4.851 -8.867 -4.848
-2.937 -0.944 7.230
-3.897 2.798 -1.218
Ce Ho Th
4 4 6
Cartesian
-8.293 -3.335 -1.239
-3.919 -0.300 1.794
-7.765 -6.713 -0.629
-3.392 -3.678 2.403
-6.820 -4.340 1.797
-2.446 -1.305 4.830
-9.238 -5.708 -3.666
-4.864 -2.673 -0.633
-1.949 1.399 -0.609
-2.425 -4.433 -2.424
-10.217 -4.977 1.146
-5.841 -5.071 -3.014
-5.843 -1.943 4.178
-1.468 -2.036 0.019
```


Material: Ce4HoTh5
Method: DFT, PBE-GGA
State: optimized geometry

Properties
space-group type: Pmmn (59)
ΔE to the lowest computed polymorph: 421 meV/atom

```
Ce4HoTh5
1.0
-5.540 -4.912 -6.598
-0.320 -5.340 4.245
-7.838 3.581 3.914
Ce Ho Th
8 2 10
Cartesian
-10.511 -2.547 -3.996
-3.138 -6.856 -0.011
-2.943 -3.593 -2.606
-8.266 -3.572 -5.118
-1.352 -2.219 2.600
-6.800 -4.275 1.738
-6.676 -2.199 0.087
-6.945 0.337 5.393
-4.938 -4.378 -5.880
-4.681 -1.413 3.362
-8.130 -2.484 4.453
-7.973 0.138 2.368
-4.232 -6.281 -2.727
-3.324 -4.680 2.052
-3.167 -2.058 -0.032
-6.615 -6.451 -0.326
-6.452 -3.734 -2.486
-5.387 0.489 0.209
-9.483 -2.348 -0.972
-9.646 -5.066 1.188
```


Material: CeHoTh2
Method: DFT, PBE-GGA
State: optimized geometry

Properties
space-group type: R-3m (166)
ΔE to the lowest computed polymorph: 228 meV/atom

```
CeHoTh2
1.0
-2.606 -1.643 -1.511
-1.423 -2.725 1.522
-9.388 5.979 5.794
Ce Ho Th
1 1 2
Cartesian
-6.708 0.805 2.903
0.000 0.000 0.000
-7.285 4.035 4.280
-6.132 -2.425 1.525
```


Material: CeHo2Th2
Method: DFT, PBE-GGA
State: optimized geometry

Properties
space-group type: P-1 (2)
ΔE to the lowest computed polymorph: 0 meV/atom

```
CeHo2Th2
1.0
-1.548 5.759 -1.219
-3.923 -7.081 6.747
7.733 5.284 -0.115
Ce Ho Th
2 4 4
Cartesian
2.023 -1.633 4.897
0.239 5.596 0.516
3.629 6.524 0.658
-0.688 2.178 0.993
2.950 1.785 4.420
-1.367 -2.561 4.756
-3.835 -0.173 4.038
-0.425 0.811 4.204
6.097 4.136 1.376
2.687 3.152 1.209
```


Material: CeHo2Th4
Method: DFT, PBE-GGA
State: optimized geometry

Properties
space-group type: I4/mmm (139)
ΔE to the lowest computed polymorph: 681 meV/atom

```
CeHo2Th4
1.0
5.575 0.000 0.000
0.000 5.575 0.000
-2.787 -2.787 8.223
Ce Ho Th
1 2 4
Cartesian
0.000 0.000 0.000
0.000 0.000 6.267
2.787 2.787 1.956
0.000 0.000 2.898
2.787 2.787 5.325
0.000 2.787 0.000
2.787 0.000 0.000
```


Material: CeHo14Th
Method: DFT, PBE-GGA
State: optimized geometry

Properties
space-group type: P4/mmm (123)
uncorrected energy: -0.1765 Ha/atom

```
CeHo14Th
1.0
-6.003 2.147 3.037
-0.361 -6.071 3.589
5.231 4.091 7.447
Ce Ho Th
1 14 1
Cartesian
-5.298 1.120 3.106
0.139 -0.944 7.105
-2.682 3.165 6.829
-5.478 -1.916 4.900
-2.863 0.130 8.624
-2.296 0.046 1.587
0.319 2.092 5.311
-0.136 -0.896 10.620
-2.756 -2.945 6.890
3.033 1.058 7.320
0.413 -0.991 3.590
2.853 -1.965 9.108
0.233 -4.014 5.378
0.044 2.127 8.833
-2.576 0.077 5.103
-2.477 -2.989 3.382
```


Material: CeHo6Th
Method: DFT, PBE-GGA
State: optimized geometry

Properties
space-group type: P-1 (2)
uncorrected energy: -0.1860 Ha/atom

```
CeHo6Th
1.0
-3.777 2.707 6.365
-2.136 -6.715 -0.367
2.007 0.905 5.710
Ce Ho Th
1 6 1
Cartesian
-1.068 -3.358 -0.184
-2.277 -4.983 2.673
-2.486 -3.232 5.763
-1.421 0.129 5.945
-1.629 1.880 9.035
-2.690 -1.484 8.859
-1.216 -1.620 2.848
0.000 0.000 0.000
```


Material: CeHoTh
Method: DFT, PBE-GGA
State: optimized geometry

Properties
space-group type: I4mm (107)
ΔE to the lowest computed polymorph: 9 meV/atom

```
CeHoTh
1.0
3.533 0.000 0.000
0.000 3.533 0.000
-1.766 -1.766 7.383
Ce Ho Th
1 1 1
Cartesian
1.766 1.766 2.526
1.766 1.766 7.359
0.000 0.000 4.881
```


Please write out number 6 again, unchanged.
Material: CeHo14Th
Method: DFT, PBE-GGA
State: optimized geometry

Properties
space-group type: P4/mmm (123)
uncorrected energy: -0.1765 Ha/atom

```
CeHo14Th
1.0
-6.003 2.147 3.037
-0.361 -6.071 3.589
5.231 4.091 7.447
Ce Ho Th
1 14 1
Cartesian
-5.298 1.120 3.106
0.139 -0.944 7.105
-2.682 3.165 6.829
-5.478 -1.916 4.900
-2.863 0.130 8.624
-2.296 0.046 1.587
0.319 2.092 5.311
-0.136 -0.896 10.620
-2.756 -2.945 6.890
3.033 1.058 7.320
0.413 -0.991 3.590
2.853 -1.965 9.108
0.233 -4.014 5.378
0.044 2.127 8.833
-2.576 0.077 5.103
-2.477 -2.989 3.382
```